(1)
VASP calculation (PBE) on crystalline Pm4CoTe at its relaxed geometry.

Unit cell a=8.5075 b=3.9432 c=19.8815 alpha=90.00 beta=90.00 gamma=90.00
Space group Pnma (No. 62)
Asymmetric unit:
Pm 0.0278 0.2500 0.0677 (multiplicity 4)
Pm 0.0447 0.7500 0.2193 (multiplicity 4)
Pm 0.1326 0.7500 0.6473 (multiplicity 4)
Pm 0.1465 0.7500 0.4529 (multiplicity 4)
Co 0.2232 0.2500 0.5531 (multiplicity 4)
Te 0.2505 0.2500 0.3144 (multiplicity 4)

## Properties
Its energy above the most stable polymorph in this dataset is 0.00 eV per formula unit. The value obtained for the density of states at the Fermi level is 0.76 states/eV per atom. For the uncorrected formation energy, the calculation gives -0.52 eV per atom.


(2)
VASP calculation (PBE) on crystalline PmCoTe at its relaxed geometry.

Unit cell a=6.4198 b=6.4198 c=6.4198 alpha=90.00 beta=90.00 gamma=90.00
Space group F-43m (No. 216)
Asymmetric unit:
Pm 0.0000 0.0000 0.0000 (multiplicity 4)
Co 0.2500 0.2500 0.7500 (multiplicity 4)
Te 0.0000 0.0000 0.5000 (multiplicity 4)

## Properties
Its energy above the most stable polymorph in this dataset is 0.00 eV per formula unit. For the uncorrected formation energy, the calculation gives -0.71 eV per atom.


(3)
VASP calculation (PBE) on crystalline Pm4CoTe at its relaxed geometry.

Unit cell a=9.2521 b=14.0415 c=6.4772 alpha=90.00 beta=121.95 gamma=90.00
Space group C2/c (No. 15)
Asymmetric unit:
Pm 0.1180 0.1872 0.0966 (multiplicity 8)
Pm 0.2444 0.4433 0.3085 (multiplicity 8)
Co 0.0000 0.0067 0.2500 (multiplicity 4)
Te 0.0000 0.3732 0.7500 (multiplicity 4)

## Properties
Its energy above the most stable polymorph in this dataset is 0.44 eV per formula unit. The value obtained for the density of states at the Fermi level is 1.08 states/eV per atom. For the uncorrected formation energy, the calculation gives -0.44 eV per atom.


(4)
VASP calculation (PBE) on crystalline Pm5Co2Te at its relaxed geometry.

Unit cell a=7.8435 b=7.8435 c=13.5669 alpha=90.00 beta=90.00 gamma=90.00
Space group I4/mcm (No. 140)
Asymmetric unit:
Pm 0.0000 0.0000 0.0000 (multiplicity 4)
Pm 0.1554 0.3446 0.1332 (multiplicity 16)
Co 0.1393 0.3607 0.5000 (multiplicity 8)
Te 0.0000 0.0000 0.2500 (multiplicity 4)

## Properties
The value obtained for the density of states at the Fermi level is 0.95 states/eV per atom. For the uncorrected formation energy, the calculation gives -0.40 eV per atom.


(5)
VASP calculation (PBE) on crystalline Pm6CoTe2 at its relaxed geometry.

Unit cell a=8.6210 b=8.6210 c=3.9528 alpha=90.00 beta=90.00 gamma=120.00
Space group P-62m (No. 189)
Asymmetric unit:
Pm 0.0000 0.2371 0.0000 (multiplicity 3)
Pm 0.0000 0.5906 0.5000 (multiplicity 3)
Co 0.0000 0.0000 0.5000 (multiplicity 1)
Te 0.3333 0.6667 0.0000 (multiplicity 2)

## Properties
The value obtained for the density of states at the Fermi level is 1.00 states/eV per atom. For the uncorrected formation energy, the calculation gives -0.68 eV per atom.


(6)
VASP calculation (PBE) on crystalline Pm8Co2Te at its relaxed geometry.

Unit cell a=8.4921 b=13.4430 c=5.7197 alpha=90.00 beta=103.00 gamma=90.00
Space group C2/m (No. 12)
Asymmetric unit:
Pm 0.0000 0.2470 0.0000 (multiplicity 4)
Pm 0.1058 0.5000 0.8007 (multiplicity 4)
Pm 0.2080 0.1298 0.5779 (multiplicity 8)
Co 0.0000 0.2941 0.5000 (multiplicity 4)
Te 0.0000 0.0000 0.0000 (multiplicity 2)

## Properties
The value obtained for the density of states at the Fermi level is 1.20 states/eV per atom. For the uncorrected formation energy, the calculation gives -0.17 eV per atom.


(7)
VASP calculation (PBE) on crystalline PmThCo at its relaxed geometry.

Unit cell a=3.6731 b=6.8432 c=7.2536 alpha=118.13 beta=104.60 gamma=90.03
Space group P-1 (No. 2)
Asymmetric unit:
Pm 0.2200 0.2204 0.4403 (multiplicity 2)
Th 0.5001 0.2558 0.9998 (multiplicity 2)
Co 0.1089 0.6081 0.2177 (multiplicity 2)

## Properties
The calculation puts the energy of formation from the pure elements at -0.45 eV/f.u. Its energy above the most stable polymorph in this dataset is 0.00 eV per formula unit. The value obtained for the density of states at the Fermi level is 0.96 states/eV per atom.


(8)
VASP calculation (PBE) on crystalline PmThCo4 at its relaxed geometry.

Unit cell a=7.2187 b=7.2187 c=7.2187 alpha=90.00 beta=90.00 gamma=90.00
Space group F-43m (No. 216)
Asymmetric unit:
Pm 0.0000 0.0000 0.0000 (multiplicity 4)
Th 0.2500 0.2500 0.2500 (multiplicity 4)
Co 0.1251 0.1251 0.6251 (multiplicity 16)

## Properties
The calculation puts the energy of formation from the pure elements at -0.77 eV/f.u. Its energy above the most stable polymorph in this dataset is 0.18 eV per formula unit. The value obtained for the density of states at the Fermi level is 1.18 states/eV per atom.


(9)
VASP calculation (PBE) on crystalline PmThCo at its relaxed geometry.

Unit cell a=3.5347 b=3.5347 c=11.6538 alpha=90.00 beta=90.00 gamma=90.00
Space group I4mm (No. 107)
Asymmetric unit:
Pm 0.0000 0.0000 0.0000 (multiplicity 2)
Th 0.0000 0.0000 0.7159 (multiplicity 2)
Co 0.0000 0.0000 0.3226 (multiplicity 2)

## Properties
The calculation puts the energy of formation from the pure elements at -0.13 eV/f.u. Its energy above the most stable polymorph in this dataset is 0.32 eV per formula unit. The value obtained for the density of states at the Fermi level is 1.29 states/eV per atom.


(10)
VASP calculation (PBE) on crystalline PmThCo at its relaxed geometry.

Unit cell a=6.8134 b=6.8134 c=6.8134 alpha=90.00 beta=90.00 gamma=90.00
Space group F-43m (No. 216)
Asymmetric unit:
Pm 0.0000 0.0000 0.0000 (multiplicity 4)
Th 0.0000 0.0000 0.5000 (multiplicity 4)
Co 0.2500 0.2500 0.2500 (multiplicity 4)

## Properties
The calculation puts the energy of formation from the pure elements at 0.20 eV/f.u. Its energy above the most stable polymorph in this dataset is 0.65 eV per formula unit. The value obtained for the density of states at the Fermi level is 1.68 states/eV per atom.


(11)
VASP calculation (PBE) on crystalline PmThCo2 at its relaxed geometry.

Unit cell a=3.9348 b=3.7985 c=11.1083 alpha=90.00 beta=90.00 gamma=90.00
Space group Amm2 (No. 38)
Asymmetric unit:
Pm 0.0000 0.0000 0.0000 (multiplicity 2)
Th 0.5000 0.0000 0.2717 (multiplicity 2)
Co 0.0000 0.0000 0.7238 (multiplicity 2)
Co 0.5000 0.0000 0.5703 (multiplicity 2)

## Properties
The calculation puts the energy of formation from the pure elements at -0.81 eV/f.u. Its energy above the most stable polymorph in this dataset is 0.00 eV per formula unit. The value obtained for the density of states at the Fermi level is 0.65 states/eV per atom.


(12)
VASP calculation (PBE) on crystalline Pm3ThCo at its relaxed geometry.

Unit cell a=5.3832 b=5.3832 c=5.3832 alpha=90.00 beta=90.00 gamma=90.00
Space group Pm-3m (No. 221)
Asymmetric unit:
Pm 0.0000 0.0000 0.5000 (multiplicity 3)
Th 0.5000 0.5000 0.5000 (multiplicity 1)
Co 0.0000 0.0000 0.0000 (multiplicity 1)

## Properties
The calculation puts the energy of formation from the pure elements at 0.91 eV/f.u. Its energy above the most stable polymorph in this dataset is 0.78 eV per formula unit. The value obtained for the density of states at the Fermi level is 2.17 states/eV per atom.


Number 1: DFT total energy -5.3902 eV/atom, magnetization 0.000 μB per atom. Number 2: DFT total energy -5.7086 eV/atom, magnetization 0.000 μB per atom. Number 3: DFT total energy -5.3169 eV/atom, magnetization 0.000 μB per atom. Number 4: DFT total energy -5.5390 eV/atom, magnetization 0.000 μB per atom. Number 5: DFT total energy -5.3300 eV/atom, magnetization 0.000 μB per atom. Number 6: DFT total energy -5.2075 eV/atom, magnetization 0.000 μB per atom. Number 7: DFT total energy -6.5760 eV/atom, magnetization 0.000 μB per atom. Number 8: DFT total energy -6.8938 eV/atom, magnetization 0.000 μB per atom. Number 9: DFT total energy -6.4681 eV/atom, magnetization 0.000 μB per atom. Number 10: DFT total energy -6.3581 eV/atom, magnetization 0.000 μB per atom. Number 11: DFT total energy -6.7978 eV/atom, magnetization 0.000 μB per atom. Number 12: DFT total energy -5.5729 eV/atom, magnetization 0.125 μB per atom.